{"formula": "Ca2PuAgS4", "functional": "GGA-PBE", "state": "relaxed", "volume_a3_per_cell": 181.5, "dos_at_fermi_per_ev_cell": 12.55, "final_energy_ev_per_cell": -50.0, "total_magnetization_mub_per_fu": 5.00, "e_form_raw_kj_per_mol_atoms": -148, "cell": [[6.8474, 0.0000, 0.0000], [0.0000, 4.0502, 0.0000], [-2.3399, 0.0000, 6.5452]], "species": ["Ca", "Ca", "Pu", "Ag", "S", "S", "S", "S"], "frac_coords": [[0.0000, 0.0000, 0.0000], [0.5000, 0.5000, 0.0000], [0.0000, 0.5000, 0.5000], [0.5000, 0.0000, 0.5000], [0.2408, 0.0000, 0.7467], [0.2454, 0.5000, 0.2520], [0.7546, 0.5000, 0.7480], [0.7592, 0.0000, 0.2533]]}